No. 1
# Sm2Dy3YEr6, optimized geometry, DFT PBE-GGA
# * crystal system: monoclinic
# * magnetic moment: 0.00 μB per formula unit
# * E_tot: -4.737 eV per atom
# * ΔE_f: 20 meV per atom
data_Sm2Dy3YEr6
_cell_length_a 6.1376
_cell_length_b 10.6202
_cell_length_c 11.7195
_cell_angle_alpha 90.00
_cell_angle_beta 100.01
_cell_angle_gamma 90.00
_symmetry_space_group_name_H-M 'C 1 2/m 1'
_symmetry_Int_Tables_number 12
loop_
_symmetry_equiv_pos_as_xyz
'x,y,z'
'-x,-y,-z'
'-x,y,-z'
'x,-y,z'
'x+1/2,y+1/2,z'
'-x+1/2,-y+1/2,-z'
'-x+1/2,y+1/2,-z'
'x+1/2,-y+1/2,z'
loop_
_atom_site_label
_atom_site_type_symbol
_atom_site_fract_x
_atom_site_fract_y
_atom_site_fract_z
Sm1 Sm 0.0000 0.1666 0.0000
Dy1 Dy 0.0000 0.0000 0.5000
Dy2 Dy 0.0000 0.3335 0.5000
Y1 Y 0.0000 0.5000 0.0000
Er1 Er 0.2486 0.1668 0.7481
Er2 Er 0.2488 0.5000 0.7479


No. 2
# La12C6I17, optimized geometry, DFT PBE-GGA
# * crystal system: monoclinic
# * magnetic moment: 0.70 μB per formula unit
# * E_tot: -5.248 eV per atom
data_La12C6I17
_cell_length_a 20.6837
_cell_length_b 12.8262
_cell_length_c 19.7332
_cell_angle_alpha 90.00
_cell_angle_beta 91.78
_cell_angle_gamma 90.00
_symmetry_space_group_name_H-M 'C 1 2/c 1'
_symmetry_Int_Tables_number 15
loop_
_symmetry_equiv_pos_as_xyz
'x,y,z'
'-x,-y,-z'
'-x,y,-z+1/2'
'x,-y,z+1/2'
'x+1/2,y+1/2,z'
'-x+1/2,-y+1/2,-z'
'-x+1/2,y+1/2,-z+1/2'
'x+1/2,-y+1/2,z+1/2'
loop_
_atom_site_label
_atom_site_type_symbol
_atom_site_fract_x
_atom_site_fract_y
_atom_site_fract_z
La1 La 0.0049 0.2087 0.4786
La2 La 0.0411 0.0083 0.8715
La3 La 0.0485 0.4708 0.3490
La4 La 0.0724 0.2327 0.2119
La5 La 0.1402 0.0003 0.0528
La6 La 0.1621 0.2346 0.3841
C1 C 0.0321 0.9997 0.0122
C2 C 0.0440 0.1765 0.3507
C3 C 0.0450 0.2863 0.3478
I1 I 0.0000 0.5000 0.0000
I2 I 0.0433 0.2645 0.8638
I3 I 0.1004 0.0270 0.7100
I4 I 0.1019 0.4876 0.1983
I5 I 0.1444 0.2500 0.0620
I6 I 0.1525 0.2537 0.5503
I7 I 0.1972 0.4821 0.3997
I8 I 0.1979 0.0126 0.9032
I9 I 0.2308 0.2295 0.2472


No. 3
# BaEuS, optimized geometry, DFT PBE-GGA
# * crystal system: trigonal
# * magnetic moment: 7.49 μB per formula unit
# * E_tot: -6.720 eV per atom
data_BaEuS
_cell_length_a 4.2701
_cell_length_b 4.2701
_cell_length_c 7.4316
_cell_angle_alpha 90.00
_cell_angle_beta 90.00
_cell_angle_gamma 120.00
_symmetry_space_group_name_H-M 'P 3 m 1'
_symmetry_Int_Tables_number 156
loop_
_symmetry_equiv_pos_as_xyz
'x,y,z'
'-y,x-y,z'
'-x+y,-x,z'
'-y,-x,z'
'-x+y,y,z'
'x,x-y,z'
loop_
_atom_site_label
_atom_site_type_symbol
_atom_site_fract_x
_atom_site_fract_y
_atom_site_fract_z
Ba1 Ba 0.0000 0.0000 0.0000
Eu1 Eu 0.3333 0.6667 0.4783
S1 S 0.6667 0.3333 0.2701


No. 4
# MgPa3Te6, optimized geometry, DFT PBE-GGA
# * crystal system: orthorhombic
# * magnetic moment: 4.69 μB per formula unit
# * E_tot: -5.617 eV per atom
data_MgPa3Te6
_cell_length_a 12.0952
_cell_length_b 14.6452
_cell_length_c 7.3906
_cell_angle_alpha 90.00
_cell_angle_beta 90.00
_cell_angle_gamma 90.00
_symmetry_space_group_name_H-M 'C m c 21'
_symmetry_Int_Tables_number 36
loop_
_symmetry_equiv_pos_as_xyz
'x,y,z'
'-x,-y,z+1/2'
'-x,y,z'
'x,-y,z+1/2'
'x+1/2,y+1/2,z'
'-x+1/2,-y+1/2,z+1/2'
'-x+1/2,y+1/2,z'
'x+1/2,-y+1/2,z+1/2'
loop_
_atom_site_label
_atom_site_type_symbol
_atom_site_fract_x
_atom_site_fract_y
_atom_site_fract_z
Mg1 Mg 0.0000 0.2145 0.0000
Pa1 Pa 0.0000 0.4087 0.6459
Pa2 Pa 0.1718 0.0944 0.5345
Te1 Te 0.0000 0.0367 0.8414
Te2 Te 0.0000 0.2309 0.3736
Te3 Te 0.1657 0.4564 0.3421
Te4 Te 0.1815 0.2750 0.7948


No. 5
# Tl6GaCl8, optimized geometry, DFT PBE-GGA
# * crystal system: trigonal
# * magnetic moment: 0.89 μB per formula unit
# * E_tot: -3.062 eV per atom
data_Tl6GaCl8
_cell_length_a 9.4550
_cell_length_b 9.4550
_cell_length_c 6.1598
_cell_angle_alpha 90.00
_cell_angle_beta 90.00
_cell_angle_gamma 120.00
_symmetry_space_group_name_H-M 'P -3 1 m'
_symmetry_Int_Tables_number 162
_symmetry_space_group_name_Hall '-P 3 2'
loop_
_atom_site_label
_atom_site_type_symbol
_atom_site_fract_x
_atom_site_fract_y
_atom_site_fract_z
Tl1 Tl 0.0000 0.3777 0.2629
Ga1 Ga 0.0000 0.0000 0.5000
Cl1 Cl 0.0000 0.2360 0.7304
Cl2 Cl 0.3333 0.6667 0.5000


No. 6
# DyNpUO6, optimized geometry, DFT PBE-GGA
# * crystal system: trigonal
# * magnetic moment: 4.00 μB per formula unit
# * E_tot: -9.675 eV per atom
data_DyNpUO6
_cell_length_a 5.7808
_cell_length_b 5.7808
_cell_length_c 9.3931
_cell_angle_alpha 90.00
_cell_angle_beta 90.00
_cell_angle_gamma 120.00
_symmetry_space_group_name_H-M 'P -3 1 c'
_symmetry_Int_Tables_number 163
_symmetry_space_group_name_Hall '-P 3 2c'
loop_
_atom_site_label
_atom_site_type_symbol
_atom_site_fract_x
_atom_site_fract_y
_atom_site_fract_z
Dy1 Dy 0.3333 0.6667 0.2500
Np1 Np 0.0000 0.0000 0.0000
U1 U 0.3333 0.6667 0.7500
O1 O 0.0173 0.3439 0.6314


No. 7
# TbTm2ThSc4, optimized geometry, DFT PBE-GGA
# * crystal system: tetragonal
# * magnetic moment: 0.00 μB per formula unit
# * E_tot: -5.749 eV per atom
# * ΔE_f: 40 meV per atom
data_TbTm2ThSc4
_cell_length_a 4.9202
_cell_length_b 4.9202
_cell_length_c 9.1403
_cell_angle_alpha 90.00
_cell_angle_beta 90.00
_cell_angle_gamma 90.00
_symmetry_space_group_name_H-M 'P 4/m m m'
_symmetry_Int_Tables_number 123
_symmetry_space_group_name_Hall '-P 4 2'
loop_
_atom_site_label
_atom_site_type_symbol
_atom_site_fract_x
_atom_site_fract_y
_atom_site_fract_z
Tb1 Tb 0.0000 0.0000 0.0000
Tm1 Tm 0.0000 0.0000 0.5000
Tm2 Tm 0.5000 0.5000 0.0000
Th1 Th 0.5000 0.5000 0.5000
Sc1 Sc 0.0000 0.5000 0.2522


No. 8
# Pr2CuGe, optimized geometry, DFT PBE-GGA
# * crystal system: monoclinic
# * magnetic moment: 0.00 μB per formula unit
# * E_tot: -5.067 eV per atom
# * ΔE_f: -498 meV per atom
data_Pr2CuGe
_cell_length_a 6.1321
_cell_length_b 4.2745
_cell_length_c 8.2764
_cell_angle_alpha 90.00
_cell_angle_beta 110.67
_cell_angle_gamma 90.00
_symmetry_space_group_name_H-M 'P 1 21/m 1'
_symmetry_Int_Tables_number 11
loop_
_symmetry_equiv_pos_as_xyz
'x,y,z'
'-x,-y,-z'
'-x,y+1/2,-z'
'x,-y+1/2,z'
loop_
_atom_site_label
_atom_site_type_symbol
_atom_site_fract_x
_atom_site_fract_y
_atom_site_fract_z
Pr1 Pr 0.2120 0.2500 0.4096
Pr2 Pr 0.2227 0.2500 0.9456
Cu1 Cu 0.4025 0.7500 0.2263
Ge1 Ge 0.3341 0.7500 0.7045